Record 1
A geometry-optimized In2BiCl structure, computed with PBE-GGA.

The structure belongs to space group P4/mmm (No. 123); the cell edges are 3.557, 3.557 and 9.068 Å and the angles 90.00°, 90.00° and 90.00°. The asymmetric unit holds In at (0.000, 0.000, 0.228), Bi at (0.500, 0.500, 0.500) and Cl at (0.500, 0.500, 0.000).

The volume is 115 Å³ per cell. The raw total energy is -12.24 eV for the cell shown. As for the raw formation energy: -258.2 meV per atom. For the density, the calculation gives 6.86 g/cm³. The offset from the most stable computed form is 0.19 eV per formula unit.

---

Record 2
A geometry-optimized In2BiCl5 structure, computed with PBE-GGA.

The structure belongs to space group P1 (No. 1); the cell edges are 5.690, 7.560 and 8.722 Å and the angles 67.79°, 71.66° and 67.94°. The asymmetric unit holds In at (0.000, 0.000, 0.000), In at (0.392, 0.692, 0.540), Bi at (0.183, 0.346, 0.271), Cl at (0.163, 0.100, 0.593), Cl at (0.229, 0.591, 0.949), Cl at (0.414, 0.016, 0.160), Cl at (0.719, 0.346, 0.271) and Cl at (0.977, 0.675, 0.382).

The volume is 315 Å³ per cell. The raw total energy is -25.79 eV for the cell shown. As for the raw formation energy: -900.2 meV per atom. For the density, the calculation gives 3.24 g/cm³. The offset from the most stable computed form is 0.00 eV per formula unit.

---

Record 3
A geometry-optimized In2Bi2Cl structure, computed with PBE-GGA.

The structure belongs to space group I4/mmm (No. 139); the cell edges are 4.436, 4.436 and 15.690 Å and the angles 90.00°, 90.00° and 90.00°. The asymmetric unit holds In at (0.000, 0.500, 0.250), Bi at (0.000, 0.000, 0.113) and Cl at (0.000, 0.000, 0.500).

The volume is 309 Å³ per cell. The raw total energy is -31.49 eV for the cell shown. As for the raw formation energy: -131.7 meV per atom. For the density, the calculation gives 7.35 g/cm³. The offset from the most stable computed form is 0.00 eV per formula unit.

---

Record 4
A geometry-optimized InBi5Cl2 structure, computed with PBE-GGA.

The structure belongs to space group Cm (No. 8); the cell edges are 6.947, 11.547 and 6.759 Å and the angles 90.00°, 94.51° and 90.00°. The asymmetric unit holds In at (0.000, 0.000, 0.000), Bi at (0.217, 0.000, 0.494), Bi at (0.248, 0.500, 0.613), Bi at (0.440, 0.000, 0.075), Bi at (0.449, 0.185, 0.742) and Cl at (0.389, 0.328, 0.205).

The volume is 540 Å³ per cell. The raw total energy is -55.63 eV for the cell shown. As for the raw formation energy: -247.4 meV per atom. For the density, the calculation gives 7.56 g/cm³.

---

Record 5
A geometry-optimized In2BiCl structure, computed with PBE-GGA.

The structure belongs to space group Fm-3m (No. 225); the cell edges are 7.615, 7.615 and 7.615 Å and the angles 90.00°, 90.00° and 90.00°. The asymmetric unit holds In at (0.250, 0.250, 0.250), Bi at (0.000, 0.000, 0.000) and Cl at (0.000, 0.000, 0.500).

The volume is 442 Å³ per cell. The raw total energy is -49.37 eV for the cell shown. As for the raw formation energy: -284.4 meV per atom. For the density, the calculation gives 7.13 g/cm³. The offset from the most stable computed form is 0.09 eV per formula unit.

---

Record 6
A geometry-optimized InBiCl structure, computed with PBE-GGA.

The structure belongs to space group P2_1 (No. 4); the cell edges are 3.563, 4.548 and 11.711 Å and the angles 90.00°, 95.70° and 90.00°. The asymmetric unit holds In at (0.200, 0.000, 0.334), Bi at (0.022, 0.502, 0.089) and Cl at (0.280, 0.003, 0.588).

The volume is 189 Å³ per cell. The raw total energy is -19.60 eV for the cell shown. As for the raw formation energy: -444.8 meV per atom. For the density, the calculation gives 6.32 g/cm³.

---

Record 7
A geometry-optimized In2Bi2Cl structure, computed with PBE-GGA.

The structure belongs to space group P4/mbm (No. 127); the cell edges are 9.080, 9.080 and 3.636 Å and the angles 90.00°, 90.00° and 90.00°. The asymmetric unit holds In at (0.149, 0.351, 0.000), Bi at (0.148, 0.648, 0.500) and Cl at (0.000, 0.000, 0.500).

The volume is 300 Å³ per cell. The raw total energy is -31.03 eV for the cell shown. As for the raw formation energy: -86.4 meV per atom. For the density, the calculation gives 7.57 g/cm³. The offset from the most stable computed form is 0.23 eV per formula unit.

---

Record 8
A geometry-optimized InBi3Cl structure, computed with PBE-GGA.

The structure belongs to space group C2/c (No. 15); the cell edges are 13.310, 15.793 and 6.733 Å and the angles 90.00°, 104.79° and 90.00°. The asymmetric unit holds In at (0.000, 0.164, 0.250), In at (0.000, 0.307, 0.750), Bi at (0.095, 0.431, 0.107), Bi at (0.171, 0.323, 0.503), Bi at (0.191, 0.016, 0.391) and Cl at (0.120, 0.182, 0.930).

The volume is 1368 Å³ per cell. The raw total energy is -136.90 eV for the cell shown. As for the raw formation energy: -176.9 meV per atom. For the density, the calculation gives 7.54 g/cm³. The offset from the most stable computed form is 0.00 eV per formula unit.

---

Record 9
A geometry-optimized InBi3Cl structure, computed with PBE-GGA.

The structure belongs to space group Pm-3m (No. 221); the cell edges are 5.608, 5.608 and 5.608 Å and the angles 90.00°, 90.00° and 90.00°. The asymmetric unit holds In at (0.000, 0.000, 0.000), Bi at (0.000, 0.500, 0.500) and Cl at (0.500, 0.500, 0.500).

The volume is 176 Å³ per cell. The raw total energy is -13.78 eV for the cell shown. As for the raw formation energy: 490.3 meV per atom. For the density, the calculation gives 7.32 g/cm³. The offset from the most stable computed form is 3.34 eV per formula unit.

---

Record 10
A geometry-optimized In2BiCl structure, computed with PBE-GGA.

The structure belongs to space group R-3m (No. 166, hexagonal axes); the cell edges are 4.6828, 4.6828 and 20.4642 Å and the angles 90.00°, 90.00° and 120.00°. The asymmetric unit holds In at (0.0000, 0.0000, 0.2417), Bi at (0.0000, 0.0000, 0.5000) and Cl at (0.0000, 0.0000, 0.0000).

The volume is 389 Å³ per cell. The raw total energy is -36.17 eV for the cell shown. As for the raw formation energy: -212.6 meV per atom. For the density, the calculation gives 6.08 g/cm³. The offset from the most stable computed form is 0.37 eV per formula unit.

---

Record 11
A geometry-optimized InBi3Cl structure, computed with PBE-GGA.

The structure belongs to space group Pm-3m (No. 221); the cell edges are 5.785, 5.785 and 5.785 Å and the angles 90.00°, 90.00° and 90.00°. The asymmetric unit holds In at (0.000, 0.000, 0.000), Bi at (0.000, 0.000, 0.500) and Cl at (0.500, 0.500, 0.500).

The volume is 194 Å³ per cell. The raw total energy is -13.59 eV for the cell shown. As for the raw formation energy: 527.3 meV per atom. For the density, the calculation gives 6.67 g/cm³. The offset from the most stable computed form is 3.52 eV per formula unit.

---

Record 12
A geometry-optimized In2BiCl structure, computed with PBE-GGA.

The structure belongs to space group R3m (No. 160, hexagonal axes); the cell edges are 4.7037, 4.7037 and 23.2609 Å and the angles 90.00°, 90.00° and 120.00°. The asymmetric unit holds In at (0.0000, 0.0000, 0.0000), In at (0.0000, 0.0000, 0.1788), Bi at (0.0000, 0.0000, 0.6227) and Cl at (0.0000, 0.0000, 0.4508).

The volume is 446 Å³ per cell. The raw total energy is -36.28 eV for the cell shown. As for the raw formation energy: -222.2 meV per atom. For the density, the calculation gives 5.30 g/cm³. The offset from the most stable computed form is 0.34 eV per formula unit.

---

Which of these has the highest raw formation energy? number 11

---

Copy entry 10 word for word.
A geometry-optimized In2BiCl structure, computed with PBE-GGA.

The structure belongs to space group R-3m (No. 166, hexagonal axes); the cell edges are 4.6828, 4.6828 and 20.4642 Å and the angles 90.00°, 90.00° and 120.00°. The asymmetric unit holds In at (0.0000, 0.0000, 0.2417), Bi at (0.0000, 0.0000, 0.5000) and Cl at (0.0000, 0.0000, 0.0000).

The volume is 389 Å³ per cell. The raw total energy is -36.17 eV for the cell shown. As for the raw formation energy: -212.6 meV per atom. For the density, the calculation gives 6.08 g/cm³. The offset from the most stable computed form is 0.37 eV per formula unit.

---

Which of these has the highest raw formation energy? number 11